No. 1
DFT (PBE) results for a relaxed structure of Cs3PrTe2O9.

It has space group P-3m1 (No. 164), with a = 6.1390 Å, b = 6.1390 Å, c = 7.5351 Å, α = 90.00°, β = 90.00° and γ = 120.00°. Symmetry generates all atoms from Cs at (0.0000, 0.0000, 0.0000), Cs at (0.3333, 0.6667, 0.6685), Pr at (0.0000, 0.0000, 0.5000), Te at (0.3333, 0.6667, 0.1667), O at (0.0000, 0.5000, 0.0000) and O at (0.1828, 0.3655, 0.3087).

As for the density of states at the Fermi level: 8.581 states/eV per cell. As for the size of the total moment: 0.00 μB per formula unit. As for the crystal system: trigonal. The uncorrected formation energy comes out at -1.50 eV/atom.



No. 2
DFT (PBE) results for a relaxed structure of CsPrTe2O6.

It has space group C2/c (No. 15), with a = 9.2658 Å, b = 11.3003 Å, c = 8.0051 Å, α = 90.00°, β = 106.93° and γ = 90.00°. Symmetry generates all atoms from Cs at (0.0000, 0.1719, 0.2500), Pr at (0.0000, 0.4424, 0.7500), Te at (0.2048, 0.1180, 0.8214), O at (0.0831, 0.3935, 0.0638), O at (0.1815, 0.2792, 0.7572) and O at (0.2332, 0.0419, 0.6234).

As for the density of states at the Fermi level: 0.000 states/eV per cell. As for the size of the total moment: 0.00 μB per formula unit. As for the crystal system: monoclinic. The uncorrected formation energy comes out at -1.80 eV/atom.



No. 3
DFT (PBE) results for a relaxed structure of Cs4Pr3TiO8.

It has space group R-3m (No. 166, hexagonal axes), with a = 7.2054 Å, b = 7.2054 Å, c = 20.7690 Å, α = 90.00°, β = 90.00° and γ = 120.00°. Symmetry generates all atoms from Cs at (0.0000, 0.0000, 0.0000), Cs at (0.0000, 0.5000, 0.0000), Pr at (0.0000, 0.5000, 0.5000), Ti at (0.0000, 0.0000, 0.5000), O at (0.0000, 0.0000, 0.2228) and O at (0.0422, 0.5211, 0.2195).

As for the density of states at the Fermi level: 11.580 states/eV per cell. As for the size of the total moment: 0.00 μB per formula unit. As for the crystal system: trigonal. The uncorrected formation energy comes out at -2.32 eV/atom.



No. 4
DFT (PBE) results for a relaxed structure of CsPrTiO4.

It has space group P2_1/m (No. 11), with a = 6.1655 Å, b = 6.2146 Å, c = 8.1502 Å, α = 90.00°, β = 107.66° and γ = 90.00°. Symmetry generates all atoms from Cs at (0.1946, 0.2500, 0.4274), Pr at (0.3010, 0.2500, 0.9545), Ti at (0.2366, 0.7500, 0.1519), O at (0.0329, 0.7500, 0.9423), O at (0.0458, 0.7500, 0.2856) and O at (0.4399, 0.5248, 0.1629).

As for the density of states at the Fermi level: 0.000 states/eV per cell. As for the size of the total moment: 0.00 μB per formula unit. As for the crystal system: monoclinic. The uncorrected formation energy comes out at -2.88 eV/atom.



No. 5
DFT (PBE) results for a relaxed structure of Cs4Pr3TlO8.

It has space group C2/m (No. 12), with a = 12.8497 Å, b = 7.4111 Å, c = 8.1636 Å, α = 90.00°, β = 121.61° and γ = 90.00°. Symmetry generates all atoms from Cs at (0.0000, 0.0000, 0.0000), Cs at (0.0000, 0.5000, 0.0000), Cs at (0.2500, 0.2500, 0.0000), Pr at (0.0000, 0.0000, 0.5000), Pr at (0.2500, 0.2500, 0.5000), Tl at (0.0000, 0.5000, 0.5000), O at (0.0248, 0.2502, 0.3242), O at (0.2227, 0.0000, 0.6685) and O at (0.2263, 0.5000, 0.6767).

As for the size of the total moment: 0.00 μB per formula unit. As for the crystal system: monoclinic. The uncorrected formation energy comes out at -2.06 eV/atom.



No. 6
DFT (PBE) results for a relaxed structure of Cs2PrTlO4.

It has space group P2/m (No. 10), with a = 6.3709 Å, b = 3.6627 Å, c = 7.2926 Å, α = 90.00°, β = 108.08° and γ = 90.00°. Symmetry generates all atoms from Cs at (0.0000, 0.0000, 0.0000), Cs at (0.5000, 0.5000, 0.0000), Pr at (0.0000, 0.5000, 0.5000), Tl at (0.5000, 0.0000, 0.5000), O at (0.2182, 0.0000, 0.6798) and O at (0.2831, 0.5000, 0.3276).

As for the size of the total moment: 0.08 μB per formula unit. As for the crystal system: monoclinic. The uncorrected formation energy comes out at -1.66 eV/atom.



No. 7
DFT (PBE) results for a relaxed structure of CsPr2Tl2O6.

It has space group P-1 (No. 2), with a = 6.2462 Å, b = 6.7521 Å, c = 6.7565 Å, α = 63.50°, β = 72.89° and γ = 72.92°. Symmetry generates all atoms from Cs at (0.0000, 0.0000, 0.0000), Pr at (0.0475, 0.3244, 0.3240), Tl at (0.5002, 0.2687, 0.7316), O at (0.2003, 0.9331, 0.4020), O at (0.2016, 0.4038, 0.9328) and O at (0.2606, 0.4562, 0.4573).

As for the density of states at the Fermi level: 1.960 states/eV per cell. As for the size of the total moment: 0.00 μB per formula unit. As for the crystal system: triclinic. The uncorrected formation energy comes out at -1.82 eV/atom.



No. 8
DFT (PBE) results for a relaxed structure of Cs3Pr2TlO6.

It has space group C2/m (No. 12), with a = 6.4032 Å, b = 11.0708 Å, c = 7.2700 Å, α = 90.00°, β = 107.13° and γ = 90.00°. Symmetry generates all atoms from Cs at (0.0000, 0.0000, 0.0000), Cs at (0.0000, 0.3358, 0.0000), Pr at (0.0000, 0.1665, 0.5000), Tl at (0.0000, 0.5000, 0.5000), O at (0.2237, 0.3346, 0.6739) and O at (0.2253, 0.0000, 0.6760).

As for the density of states at the Fermi level: 0.000 states/eV per cell. As for the size of the total moment: 0.00 μB per formula unit. As for the crystal system: monoclinic. The uncorrected formation energy comes out at -1.92 eV/atom.



In the order shown, the computed total energy values come out to -5.384 -5.970 -6.406 -7.641 -5.796 -5.244 -5.898 -5.609 eV per atom.